1.
Density functional theory data (PBE) for crystalline La3Zn4Ir4 at its relaxed geometry.

Summary:
The value obtained for the raw total energy is -61.231 eV/cell.

abc: 4.248 7.281 8.308
angles: 115.99 104.81 90.00
Fractional coordinates of all 11 atoms:
La 0.129 0.129 0.258
La 0.871 0.871 0.742
La 0.000 0.500 0.000
Zn 0.329 0.141 0.659
Zn 0.671 0.482 0.341
Zn 0.671 0.859 0.341
Zn 0.329 0.518 0.659
Ir 0.218 0.718 0.437
Ir 0.782 0.282 0.563
Ir 0.500 0.819 0.000
Ir 0.500 0.181 0.000

=====

2.
Density functional theory data (PBE) for crystalline LaZn2Ir at its relaxed geometry.

Summary:
The value obtained for the raw total energy is -17.429 eV/cell.

abc: 5.091 5.091 5.091
angles: 129.47 129.47 74.26
Fractional coordinates of all 4 atoms:
Ir 0.250 0.750 0.500
La 0.750 0.250 0.500
Zn 0.000 0.000 0.000
Zn 0.500 0.500 0.000

=====

3.
Density functional theory data (PBE) for crystalline LaZn4Ir at its relaxed geometry.

Summary:
The value obtained for the raw total energy is -20.533 eV/cell.

abc: 5.073 5.073 7.606
angles: 68.41 111.59 63.83
Fractional coordinates of all 6 atoms:
La 0.500 0.000 0.000
Zn 0.258 0.242 0.262
Zn 0.742 0.758 0.738
Zn 0.000 0.000 0.500
Zn 0.500 0.500 0.500
Ir 0.000 0.500 0.500

=====

| no. | energy of formation (eV per formula unit) |
| --- | --- |
| 1 | -5.91 |
| 2 | -1.09 |
| 3 | -1.65 |